DFT (GGA-PBE) results for LiPtSe after structural relaxation.

Values from the calculation:
- M_tot (μB/cell) = 0.00
- raw formation energy (meV/atom) = -497
- total DFT energy (no corrections) (eV/cell) = -12.93

a b c (Å): 4.2209 4.2209 4.2209
angles (deg): 60.00 60.00 60.00
Fractional positions:
Pt: 0.7500 0.7500 0.7500
Li: 0.5000 0.5000 0.5000
Se: 0.0000 0.0000 0.0000